(1)
Compound: BSbTe2As
Source: Alexandria
Functional: GGA-PBE
Structure: optimized geometry

```
BSbTe2As
1.0
5.8043 0.0000 0.0000
0.0000 5.2679 0.0000
0.0000 0.0000 5.8043
B Te As Sb
1 2 1 1
Direct
0.5000 0.5000 0.5000
0.5000 0.0000 0.0000
0.0000 0.0000 0.5000
0.0000 0.5000 0.0000
0.0000 0.0000 0.0000
```

## Properties
- polymorph energy (0 for the lowest one) (eV/f.u.) = 3.96
- space group = P4/mmm
- formation energy from raw total energies (eV per atom) = 1.571

(2)
Compound: BSb2TeAs
Source: Alexandria
Functional: GGA-PBE
Structure: optimized geometry

```
BSb2TeAs
1.0
-0.1095 -1.6967 4.5703
4.1859 -2.3760 -0.7818
2.4492 3.8279 1.4798
Te As Sb B
1 1 2 1
Direct
0.0000 0.0000 0.5000
0.5000 0.5000 0.5000
0.5000 0.0000 0.0000
0.0000 0.5000 0.0000
0.0000 0.0000 0.0000
```

## Properties
- polymorph energy (0 for the lowest one) (eV/f.u.) = 0.00
- space group = P4/mmm
- formation energy from raw total energies (eV per atom) = 0.777

(3)
Compound: BSbTe2As
Source: Alexandria
Functional: GGA-PBE
Structure: optimized geometry

```
BSbTe2As
1.0
5.5542 0.0000 0.0000
0.0000 5.5542 0.0000
0.0000 0.0000 5.2161
Te As B Sb
2 1 1 1
Direct
0.0000 0.5000 0.0000
0.5000 0.0000 0.0000
0.0000 0.0000 0.0000
0.5000 0.5000 0.5000
0.0000 0.0000 0.5000
```

## Properties
- polymorph energy (0 for the lowest one) (eV/f.u.) = 3.28
- space group = P4/mmm
- formation energy from raw total energies (eV per atom) = 1.434

(4)
Compound: V2BSbAs
Source: Alexandria
Functional: GGA-PBE
Structure: optimized geometry

```
V2BSbAs
1.0
4.9104 0.0000 0.0000
0.0000 5.1642 0.0000
0.0000 0.0000 4.9104
As B V Sb
1 1 2 1
Direct
0.0000 0.5000 0.0000
0.5000 0.5000 0.5000
0.0000 0.0000 0.5000
0.5000 0.0000 0.0000
0.0000 0.0000 0.0000
```

## Properties
- space group = P4/mmm
- formation energy from raw total energies (eV per atom) = 2.120

(5)
Compound: ScB2As
Source: Alexandria
Functional: GGA-PBE
Structure: optimized geometry

```
ScB2As
1.0
-2.1076 -3.6277 4.4365
5.6573 -0.5625 2.2277
1.3401 0.2239 5.0217
Sc B As
2 4 2
Direct
0.5000 0.5000 0.0000
0.2500 0.7500 0.5000
0.8750 0.9240 0.7500
0.3750 0.3260 0.7500
0.6740 0.1250 0.2500
0.0760 0.6250 0.2500
0.7500 0.2500 0.5000
0.0000 0.0000 0.0000
```

## Properties
- E_form (eV/atom) = 0.330
- space group = I-42d

(6)
Compound: Sc3BAs
Source: Alexandria
Functional: GGA-PBE
Structure: optimized geometry

```
Sc3BAs
1.0
-2.6947 -0.0916 -3.6761
-3.3199 -1.8989 2.4810
-1.5811 4.1435 1.0557
B Sc As
1 3 1
Direct
0.0000 0.0000 0.0000
0.0000 0.0000 0.5000
0.5000 0.0000 0.0000
0.0000 0.5000 0.0000
0.5000 0.5000 0.5000
```

## Properties
- E_form (eV/atom) = -0.598
- polymorph energy (0 for the lowest one) (eV/f.u.) = 0.00
- space group = Pm-3m

(7)
Compound: ScBAs3
Source: Alexandria
Functional: GGA-PBE
Structure: optimized geometry

```
ScBAs3
1.0
5.0703 0.0000 0.0000
0.0000 5.0703 0.0000
0.0000 0.0000 5.0703
Sc B As
1 1 3
Direct
0.0000 0.0000 0.0000
0.5000 0.5000 0.5000
0.5000 0.0000 0.0000
0.0000 0.0000 0.5000
0.0000 0.5000 0.0000
```

## Properties
- E_form (eV/atom) = 1.137
- polymorph energy (0 for the lowest one) (eV/f.u.) = 4.17
- space group = Pm-3m

(8)
Compound: ScBAs3
Source: Alexandria
Functional: GGA-PBE
Structure: optimized geometry

```
ScBAs3
1.0
4.4595 0.0000 0.0000
0.0000 4.4595 0.0000
0.0000 0.0000 4.4595
Sc As B
1 3 1
Direct
0.5000 0.5000 0.5000
0.5000 0.0000 0.0000
0.0000 0.5000 0.0000
0.0000 0.0000 0.5000
0.0000 0.0000 0.0000
```

## Properties
- E_form (eV/atom) = 0.304
- polymorph energy (0 for the lowest one) (eV/f.u.) = 0.00
- space group = Pm-3m

What did we get for N(E_F)? Answer: 0.85 0.80 0.86 1.70 0.13 0.61 0.77 0.77 states/eV per atom, in the order shown.